No. 1
VASP calculation (GGA-PBEsol) on a relaxed structure of NbIr2C.

Summary:
**Formation enthalpy at 0 K**: 0.42 eV/atom
**Calculated total energy**: -9.61 eV/atom

Cell: 5.157 5.157 9.968 Å, 90.00 90.00 90.00°
Space group I-42d (No. 122)
Symmetry-distinct sites (fractional):
Nb: 0.000 0.000 0.000 (multiplicity 4)
Ir: 0.160 0.250 0.625 (multiplicity 8)
C: 0.000 0.000 0.500 (multiplicity 4)

---

No. 2
VASP calculation (GGA-PBEsol) on a relaxed structure of Te2IrPdI.

Summary:
**E_form (uncorrected)**: 6.2 eV per formula unit
**Calculated total energy**: -3.68 eV/atom

Cell: 5.113 5.113 5.124 Å, 90.00 90.00 90.00°
Space group P4/mmm (No. 123)
Symmetry-distinct sites (fractional):
Te: 0.000 0.500 0.000 (multiplicity 2)
Ir: 0.000 0.000 0.500 (multiplicity 1)
Pd: 0.500 0.500 0.000 (multiplicity 1)
I: 0.500 0.500 0.500 (multiplicity 1)